Entry 1:
BaMg2SnHg4: relaxed, GGA-PBE.

Cell: 4.9096 4.9096 10.9392 Å, 77.03 77.03 60.00°
Fractional positions:
Ba  0.0000  0.0000  0.0000
Mg  0.7666  0.7666  0.7002
Mg  0.2334  0.2334  0.2998
Sn  0.5000  0.5000  0.5000
Hg  0.3965  0.3965  0.8105
Hg  0.8780  0.8780  0.3661
Hg  0.1220  0.1220  0.6339
Hg  0.6035  0.6035  0.1895

Output
* space group: R-3m (166)
* energy of formation: -0.278 eV/atom
* magnetic moment: 0.000 μB per atom

=====

Entry 2:
KTl2Sb: relaxed, GGA-PBE.

Cell: 5.5347 5.5347 6.5602 Å, 74.35 74.35 50.61°
Fractional positions:
K  0.4952  0.4952  0.5082
Sb  0.7472  0.7472  0.8216
Tl  0.0015  0.0015  0.0028
Tl  0.2561  0.2561  0.1674

Output
* ΔE_f (raw): -141 meV per atom
* space group: Cm (8)
* magnetic moment: 0.000 μB per atom